(1)
DFT (PBEsol) results for a relaxed structure of TlCuHg2.

```
data_TlCuHg2
_chemical_formula_sum 'Tl1 Cu1 Hg2'
_space_group_name_H-M_alt 'P 1'
_space_group_IT_number 1
_cell_length_a 4.301
_cell_length_b 4.302
_cell_length_c 4.505
_cell_angle_alpha 90.00
_cell_angle_beta 90.00
_cell_angle_gamma 90.00
loop_
_space_group_symop_operation_xyz
'x,y,z'
loop_
_atom_site_label
_atom_site_type_symbol
_atom_site_fract_x
_atom_site_fract_y
_atom_site_fract_z
Hg1 Hg 0.000 0.000 0.000
Hg2 Hg 0.500 0.500 0.000
Cu1 Cu 0.000 0.500 0.500
Tl1 Tl 0.500 0.000 0.500
```

Results
The calculation puts the energy of formation at 0.245 eV/atom.

***

(2)
DFT (PBEsol) results for a relaxed structure of LaAl2Cd.

```
data_LaAl2Cd
_chemical_formula_sum 'La1 Al2 Cd1'
_space_group_name_H-M_alt 'P 1'
_space_group_IT_number 1
_cell_length_a 3.481
_cell_length_b 3.481
_cell_length_c 7.346
_cell_angle_alpha 90.00
_cell_angle_beta 90.00
_cell_angle_gamma 90.00
loop_
_space_group_symop_operation_xyz
'x,y,z'
loop_
_atom_site_label
_atom_site_type_symbol
_atom_site_fract_x
_atom_site_fract_y
_atom_site_fract_z
Cd1 Cd 0.000 0.000 0.449
Al1 Al 0.000 0.000 0.052
Al2 Al 0.500 0.500 0.235
La1 La 0.500 0.500 0.764
```

Results
The calculation puts the energy of formation at -0.179 eV/atom.

***

(3)
DFT (PBEsol) results for a relaxed structure of KZnCo2.

```
data_KZnCo2
_chemical_formula_sum 'K1 Zn1 Co2'
_space_group_name_H-M_alt 'P 1'
_space_group_IT_number 1
_cell_length_a 2.794
_cell_length_b 3.105
_cell_length_c 7.791
_cell_angle_alpha 90.00
_cell_angle_beta 90.00
_cell_angle_gamma 90.00
loop_
_space_group_symop_operation_xyz
'x,y,z'
loop_
_atom_site_label
_atom_site_type_symbol
_atom_site_fract_x
_atom_site_fract_y
_atom_site_fract_z
Zn1 Zn 0.500 0.500 0.835
Co1 Co 0.000 0.000 0.024
Co2 Co 0.500 0.500 0.158
K1 K 0.000 0.000 0.483
```

Results
The calculation puts the energy of formation at 0.479 eV/atom.

***

(4)
DFT (PBEsol) results for a relaxed structure of CoTeSe2I.

```
data_CoTeSe2I
_chemical_formula_sum 'Co1 Te1 Se2 I1'
_space_group_name_H-M_alt 'P 1'
_space_group_IT_number 1
_cell_length_a 4.622
_cell_length_b 5.438
_cell_length_c 5.438
_cell_angle_alpha 90.00
_cell_angle_beta 90.00
_cell_angle_gamma 90.00
loop_
_space_group_symop_operation_xyz
'x,y,z'
loop_
_atom_site_label
_atom_site_type_symbol
_atom_site_fract_x
_atom_site_fract_y
_atom_site_fract_z
I1 I 0.000 0.000 0.000
Se1 Se 0.000 0.500 0.000
Se2 Se 0.000 0.000 0.500
Te1 Te 0.500 0.500 0.500
Co1 Co 0.500 0.000 0.000
```

Results
For the uncorrected formation energy, the calculation gives 5.5 eV per formula unit.

***

Number 1: calculated volume 83 Å³ per cell. Number 2: calculated volume 89 Å³ per cell. Number 3: calculated volume 68 Å³ per cell. Number 4: calculated volume 137 Å³ per cell.